Material: Nd3SnN
Method: DFT, PBE
State: relaxed

Computed properties:
- VASP energy (eV/atom) = -6.29
- E_form (uncorrected) (eV per atom) = -0.961

Cell lengths 5.012, 5.012, 5.012 Å; angles 90.00, 90.00, 90.00 degrees
Space group Pm-3m (No. 221)
Asymmetric unit:
Nd  0.000  0.000  0.500
Sn  0.500  0.500  0.500
N  0.000  0.000  0.000